[1]
! Ho2ErMgC | Alexandria | GGA-PBE | optimized geometry; values from VASP
! Volume in Å³ per atom: 24.13
! Energy relative to the elements in meV per atom: -202
! Fermi-level density of states in states/eV/atom: 1.18
! SG: P4/mmm (123)
! Electronic total energy in eV for the cell shown: -25.55
&SYSTEM
  ibrav = 0, nat = 5, ntyp = 4
/
ATOMIC_SPECIES
Ho 164.93 Ho.upf
Er 167.26 Er.upf
Mg 24.30 Mg.upf
C 12.01 C.upf
ATOMIC_POSITIONS crystal
Ho 0.0000 0.0000 0.5000
Ho 0.0000 0.5000 0.0000
Er 0.5000 0.0000 0.0000
Mg 0.5000 0.5000 0.5000
C 0.0000 0.0000 0.0000
CELL_PARAMETERS angstrom
-0.7954 2.5394 -4.1241
3.2663 -2.8617 -2.3921
-3.6422 -3.1322 -1.2262

=====

[2]
! HoEr2MgC | Alexandria | GGA-PBE | optimized geometry; values from VASP
! Volume in Å³ per atom: 24.00
! Energy relative to the elements in meV per atom: -207
! Fermi-level density of states in states/eV/atom: 1.17
! SG: P4/mmm (123)
! Electronic total energy in eV for the cell shown: -25.56
&SYSTEM
  ibrav = 0, nat = 5, ntyp = 4
/
ATOMIC_SPECIES
Ho 164.93 Ho.upf
Er 167.26 Er.upf
Mg 24.30 Mg.upf
C 12.01 C.upf
ATOMIC_POSITIONS crystal
Ho 0.5000 0.0000 0.0000
Er 0.0000 0.0000 0.5000
Er 0.0000 0.5000 0.0000
Mg 0.5000 0.5000 0.5000
C 0.0000 0.0000 0.0000
CELL_PARAMETERS angstrom
-1.6124 -1.4886 4.4502
3.7806 -3.1283 0.3233
2.7087 3.4958 2.1507

=====

[3]
! HoErCO | Alexandria | GGA-PBE | optimized geometry; values from VASP
! Volume in Å³ per atom: 15.02
! ΔE_f (raw) in eV per atom: -1.2547
! Fermi-level density of states in states/eV/atom: 0.26
! SG: Imm2 (44)
! Electronic total energy in eV for the cell shown: -28.34
&SYSTEM
  ibrav = 0, nat = 4, ntyp = 4
/
ATOMIC_SPECIES
Ho 164.93 Ho.upf
Er 167.26 Er.upf
C 12.01 C.upf
O 16.00 O.upf
ATOMIC_POSITIONS crystal
Ho 0.6676 0.6676 0.3352
Er 0.4135 0.9135 0.8269
C 0.8210 0.3210 0.6420
O 0.0771 0.0771 0.1541
CELL_PARAMETERS angstrom
3.1286 0.0000 0.0000
0.0000 3.2330 0.0000
-1.5643 -1.6165 5.9416